A relaxed SrSmNi4O12 crystal, computed with PBE with a Hubbard U.

a b c (Å): 5.3766 5.3766 7.6420
angles (deg): 90.00 90.00 90.00
Closest atoms and distances in Å follow each position.
Space group P4/mmm (No. 123)
Symmetry-distinct sites (fractional):
Sr (0.0000, 0.0000, 0.0000) [1 per cell]  12 O 2.69-2.83
Sm (0.5000, 0.5000, 0.5000) [1 per cell]  12 O 2.56-2.69
Ni (0.0000, 0.5000, 0.2492) [4 per cell]  6 O 1.90-1.92
O (0.0000, 0.5000, 0.0000) [2 per cell]  2 Ni 1.90
O (0.0000, 0.5000, 0.5000) [2 per cell]  2 Ni 1.92
O (0.2604, 0.2604, 0.2646) [8 per cell]  2 Ni 1.91

Calculated values
Magnetization, Bohr magnetons per cell: 10.75
Volume, Å³/atom: 12.273
VASP energy, eV per atom: -4.99